Entry from Alexandria via LeMat-Bulk: an optimized crystal structure of BaInW2 (PBE).

Computed properties:
As for the formation enthalpy at 0 K: 0.998 eV/atom. The value obtained for the total magnetization is 0.00 μB per cell. As for the raw total energy: -6.644 eV per atom.

abc: 3.715 3.715 7.388
angles: 90.00 90.00 90.00
Space group P4/mmm (No. 123)
Asymmetric unit:
Ba  0.000  0.000  0.000 x1
In  0.000  0.000  0.500 x1
W  0.500  0.500  0.343 x2